VASP calculation (PBE-GGA) on a relaxed NiPtS crystal.

Values from the calculation:
**Calculated total energy**: -5.417 eV/atom
**Energy relative to the elements, uncorrected**: -0.100 eV/atom
**Magnetic moment**: 0.0 μB/f.u.

```
12
Lattice="-4.219 2.653 -2.906 -0.673 -2.755 -1.539 -3.651 -3.974 8.711" Properties=species:S:1:pos:R:3 pbc="T T T"
Pt -5.216 -1.928 2.350
Ni -1.367 -1.035 2.451
Pt -2.273 -2.168 4.876
S -3.911 0.579 0.673
S -3.024 -2.632 2.651
Ni -3.529 -4.400 6.037
Pt -0.783 -1.559 -0.250
Pt -3.054 1.437 -1.237
S -6.074 -2.785 4.259
Ni -4.755 -2.082 5.807
S -4.514 -3.241 7.776
Ni -3.266 -1.473 0.682
```

---

VASP calculation (PBE-GGA) on a relaxed HoTh2Sc7 crystal.

Values from the calculation:
**Calculated total energy**: -6.015 eV/atom
**Magnetic moment**: 0.0 μB/f.u.

```
10
Lattice="-2.622 -0.649 -2.238 2.041 -9.005 2.983 -4.811 4.662 7.018" Properties=species:S:1:pos:R:3 pbc="T T T"
Sc -2.483 0.922 2.632
Sc -2.908 -5.913 5.131
Th -4.884 1.869 5.171
Sc -0.318 -4.300 4.373
Sc -2.696 -2.496 3.882
Th -0.507 -6.861 2.592
Sc -5.116 -1.515 6.426
Sc -5.073 -0.691 3.390
Sc -0.275 -3.477 1.338
Ho 0.000 0.000 0.000
```

---

VASP calculation (PBE-GGA) on a relaxed CaHo3Te4 crystal.

Values from the calculation:
**Calculated total energy**: -4.677 eV/atom
**Energy relative to the elements, uncorrected**: -1.139 eV/atom
**Magnetic moment**: 0.8 μB/f.u.

```
16
Lattice="-3.580 -3.806 -3.163 -2.229 -4.345 7.752 -7.675 6.176 1.255" Properties=species:S:1:pos:R:3 pbc="T T T"
Ho -7.815 1.830 5.885
Te -5.793 -0.520 6.423
Te -3.276 0.090 2.840
Te -5.041 -3.740 3.551
Ho -3.999 -6.006 5.098
Ho -8.177 0.695 1.762
Ho -3.246 -1.847 5.137
Te -2.262 -4.206 6.864
Ca -0.799 -1.353 1.773
Te -9.596 -0.075 4.296
Te -6.055 0.556 -0.472
Ho -4.318 2.356 1.294
Te -6.396 2.601 3.351
Ca -7.519 -2.297 4.618
Ho -5.072 -1.803 1.254
Te -2.525 -3.131 -0.032
```

---

VASP calculation (PBE-GGA) on a relaxed Sr3ErCd4 crystal.

Values from the calculation:
**Calculated total energy**: -1.973 eV/atom
**Magnetic moment**: 0.0 μB/f.u.

```
8
Lattice="3.923 0.000 0.000 0.000 3.923 0.000 0.000 0.000 16.165" Properties=species:S:1:pos:R:3 pbc="T T T"
Cd 0.000 0.000 1.667
Er 1.961 1.961 0.000
Cd 0.000 0.000 10.193
Sr 1.961 1.961 12.309
Cd 0.000 0.000 14.498
Cd 0.000 0.000 5.972
Sr 1.961 1.961 3.856
Sr 1.961 1.961 8.083
```

---

VASP calculation (PBE-GGA) on a relaxed Ba3Np4O12 crystal.

Values from the calculation:
**Calculated total energy**: -9.164 eV/atom
**Energy relative to the elements, uncorrected**: -3.005 eV/atom
**Magnetic moment**: 10.0 μB/f.u.

```
19
Lattice="7.118 0.000 -2.517 -3.559 6.165 -2.517 0.000 0.000 7.550" Properties=species:S:1:pos:R:3 pbc="T T T"
O 3.471 2.962 2.642
Np 3.559 0.000 -1.258
Np -1.780 3.082 -1.258
O -0.830 4.487 4.908
Np 1.780 3.082 1.258
O 1.849 0.153 4.935
O 4.389 1.678 -2.392
O 0.088 3.202 -0.125
O 2.767 4.487 -0.098
Ba -1.780 3.082 2.517
O 0.742 4.640 2.392
O 0.792 1.678 2.615
O 1.710 6.012 -2.419
Np 0.000 0.000 3.775
Ba 1.780 3.082 -2.517
O 6.061 1.525 2.419
O 2.818 1.525 0.125
O -2.502 4.640 0.098
Ba 3.559 0.000 2.517
```

---

VASP calculation (PBE-GGA) on a relaxed Cs2RbSeO4 crystal.

Values from the calculation:
**Calculated total energy**: -4.448 eV/atom
**Energy relative to the elements, uncorrected**: -1.199 eV/atom
**Magnetic moment**: 0.9 μB/f.u.

```
8
Lattice="-2.200 -6.044 -0.304 1.847 1.705 5.928 -4.503 4.385 -1.396" Properties=species:S:1:pos:R:3 pbc="T T T"
Se -1.328 3.045 2.266
O -2.881 -1.305 1.887
Rb -4.016 0.693 0.283
O -2.177 -4.116 2.433
Cs -0.840 -0.647 3.945
O -2.653 2.906 3.498
O -2.000 2.607 0.638
Cs 0.000 0.000 0.000
```

---

VASP calculation (PBE-GGA) on a relaxed TbY5Tm4 crystal.

Values from the calculation:
**Calculated total energy**: -5.170 eV/atom
**Magnetic moment**: 0.0 μB/f.u.

```
10
Lattice="-0.319 2.423 -5.797 -7.322 0.984 -2.600 -0.254 7.827 -0.129" Properties=species:S:1:pos:R:3 pbc="T T T"
Y -0.983 4.800 -4.438
Y -4.593 1.548 -2.185
Tm -3.233 6.850 -3.454
Tb -0.071 0.536 -1.283
Tm -5.540 7.327 -6.542
Y -3.272 9.452 -5.782
Y -0.216 1.639 -3.923
Tm -4.631 4.147 -4.507
Y -6.882 6.200 -3.529
Tm -2.324 3.670 -1.419
```

---

VASP calculation (PBE-GGA) on a relaxed Ho5Pd2Pb crystal.

Values from the calculation:
**Calculated total energy**: -5.257 eV/atom
**Magnetic moment**: 0.0 μB/f.u.

```
16
Lattice="-2.343 4.290 6.121 -7.155 0.571 -3.139 2.884 -8.055 1.737" Properties=species:S:1:pos:R:3 pbc="T T T"
Pd -2.455 2.802 3.464
Pd -2.927 0.788 -0.318
Ho 1.483 -4.913 2.443
Ho -4.166 -3.179 2.201
Ho -8.097 1.718 2.277
Pd -7.042 2.059 -0.481
Ho -2.448 -0.016 2.518
Ho -4.958 2.236 4.992
Pd -6.571 4.072 3.300
Pb -5.681 -0.382 3.105
Ho -1.655 -5.431 -0.272
Pb -0.932 -2.812 1.614
Ho -1.027 -2.661 4.916
Ho 0.000 0.000 0.000
Ho -5.586 -0.533 -0.197
Ho -4.749 2.430 1.491
```

---

VASP calculation (PBE-GGA) on a relaxed Na3Hg2Au crystal.

Values from the calculation:
**Calculated total energy**: -1.575 eV/atom
**Magnetic moment**: 0.0 μB/f.u.

```
12
Lattice="-3.871 -3.162 0.803 2.806 -6.617 3.423 -1.116 3.142 6.988" Properties=species:S:1:pos:R:3 pbc="T T T"
Au -0.627 -6.607 2.871
Na -2.782 0.802 5.702
Na -2.205 -0.822 2.090
Na -3.090 -2.480 7.252
Hg -1.247 -4.971 6.325
Na 0.908 -4.157 3.964
Hg 0.000 0.000 0.000
Hg -0.934 -1.667 4.890
Na -2.481 -4.195 3.439
Hg -0.558 1.571 3.494
Na 0.299 -2.443 7.776
Au -0.438 -3.172 1.356
```

---

VASP calculation (PBE-GGA) on a relaxed Tb5PrYSc2 crystal.

Values from the calculation:
**Calculated total energy**: -5.056 eV/atom
**Magnetic moment**: 0.0 μB/f.u.

```
18
Lattice="-3.742 3.532 -2.260 2.811 -6.879 -8.418 -6.919 -5.785 2.417" Properties=species:S:1:pos:R:3 pbc="T T T"
Y -2.133 -6.541 -6.691
Pr -4.864 -4.461 -5.905
Tb -3.532 -0.003 -1.144
Pr 0.219 -1.991 -3.475
Y -8.040 -4.533 -0.758
Tb -5.450 -2.496 -1.864
Tb -4.404 -7.314 -4.138
Tb -4.530 -6.272 -9.289
Tb -4.301 -9.115 -7.123
Sc -2.040 -3.043 -1.377
Tb 0.416 -4.281 -7.381
Tb -3.033 -1.472 -4.267
Tb -1.806 -4.641 -4.263
Sc -4.547 -5.460 -1.004
Tb -0.113 -0.178 -0.092
Sc -6.857 -6.965 -6.518
Sc -2.547 -3.040 -7.521
Tb -7.194 -5.452 -3.596
```

---

VASP calculation (PBE-GGA) on a relaxed LiCa2Mg crystal.

Values from the calculation:
**Calculated total energy**: -1.916 eV/atom
**Magnetic moment**: 0.0 μB/f.u.

```
4
Lattice="3.893 0.000 0.000 0.000 3.958 0.017 0.000 3.949 8.113" Properties=species:S:1:pos:R:3 pbc="T T T"
Ca 0.000 3.953 4.065
Mg 1.946 5.930 6.098
Ca 0.000 3.949 8.113
Li 1.946 1.977 2.033
```

---

VASP calculation (PBE-GGA) on a relaxed Mn2CuIr crystal.

Values from the calculation:
**Calculated total energy**: -7.649 eV/atom
**Magnetic moment**: 2.8 μB/f.u.

```
4
Lattice="-4.439 -4.037 6.142 -2.100 -5.157 6.536 -2.654 -2.849 7.653" Properties=species:S:1:pos:R:3 pbc="T T T"
Mn -4.600 -6.026 10.173
Mn -9.190 -12.039 20.324
Cu -2.298 -3.011 5.083
Ir -6.895 -9.033 15.249
```

---

VASP calculation (PBE-GGA) on a relaxed CsNi3Ge crystal.

Values from the calculation:
**Calculated total energy**: -2.527 eV/atom
**Magnetic moment**: 0.0 μB/f.u.

```
5
Lattice="-4.172 2.338 0.559 -1.884 -3.875 2.148 1.493 1.643 4.273" Properties=species:S:1:pos:R:3 pbc="T T T"
Ni 0.746 0.821 2.136
Ni -2.086 1.169 0.279
Ni -0.942 -1.938 1.074
Cs 0.000 0.000 0.000
Ge -2.282 0.053 3.490
```

---

VASP calculation (PBE-GGA) on a relaxed YHoLu2 crystal.

Values from the calculation:
**Calculated total energy**: -4.987 eV/atom
**Magnetic moment**: 0.0 μB/f.u.

```
4
Lattice="-4.863 -0.423 0.764 0.791 -4.010 2.818 0.379 2.896 4.014" Properties=species:S:1:pos:R:3 pbc="T T T"
Lu 0.396 -2.005 1.409
Ho -1.846 -0.768 3.798
Y -2.432 -0.211 0.382
Lu 0.190 1.448 2.007
```

---

VASP calculation (PBE-GGA) on a relaxed Ho6TlIn5 crystal.

Values from the calculation:
**Calculated total energy**: -4.059 eV/atom
**Magnetic moment**: 0.0 μB/f.u.

```
12
Lattice="-5.212 -0.911 -0.544 0.488 -5.670 4.817 -4.110 4.543 5.764" Properties=species:S:1:pos:R:3 pbc="T T T"
In -3.108 1.212 1.742
Ho -3.485 1.452 4.956
Ho -5.349 -3.491 5.080
Tl 0.000 0.000 0.000
Ho -2.484 -1.877 0.936
Ho -5.592 -0.664 2.679
In -2.863 -1.626 4.146
In -5.972 -0.413 5.890
In -6.214 2.419 3.478
Ho -3.243 -1.375 7.357
Ho -2.240 -4.704 3.337
In 0.244 -2.835 2.408
```

---

VASP calculation (PBE-GGA) on a relaxed HfAl3C crystal.

Values from the calculation:
**Calculated total energy**: -3.798 eV/atom
**Magnetic moment**: 0.7 μB/f.u.

```
5
Lattice="-1.483 4.669 2.035 1.182 -1.746 4.868 4.955 1.814 -0.553" Properties=species:S:1:pos:R:3 pbc="T T T"
Al -0.741 2.335 1.018
C 2.327 2.369 3.175
Hf 0.000 0.000 0.000
Al 2.477 0.907 -0.276
Al 0.591 -0.873 2.434
```

---

VASP calculation (PBE-GGA) on a relaxed Cs2PbCCl6 crystal.

Values from the calculation:
**Calculated total energy**: -3.305 eV/atom
**Energy relative to the elements, uncorrected**: -0.733 eV/atom
**Magnetic moment**: 0.0 μB/f.u.

```
10
Lattice="7.418 0.000 0.000 0.000 7.418 0.000 3.709 3.709 5.244" Properties=species:S:1:pos:R:3 pbc="T T T"
Cl 2.019 5.398 0.000
Pb 0.000 0.000 0.000
Cs 7.418 3.709 2.622
Cl 2.019 2.019 0.000
Cl 7.418 7.418 2.854
Cs 3.709 7.418 2.622
Cl 5.398 5.398 0.000
Cl 3.709 3.709 2.389
C 3.709 3.709 0.000
Cl 5.398 2.019 0.000
```

---

VASP calculation (PBE-GGA) on a relaxed TlBr5 crystal.

Values from the calculation:
**Calculated total energy**: -1.795 eV/atom
**Energy relative to the elements, uncorrected**: -0.007 eV/atom
**Magnetic moment**: 1.1 μB/f.u.

```
6
Lattice="-1.368 5.482 0.971 0.128 -3.736 4.347 8.493 1.877 1.363" Properties=species:S:1:pos:R:3 pbc="T T T"
Br 3.627 1.812 3.340
Br -0.869 2.409 2.097
Br -0.370 -0.663 3.222
Tl 0.000 0.000 0.000
Br 3.563 3.680 1.167
Br 4.310 -0.929 2.855
```

---

VASP calculation (PBE-GGA) on a relaxed BeZnRu2 crystal.

Values from the calculation:
**Calculated total energy**: -5.867 eV/atom
**Magnetic moment**: 0.0 μB/f.u.

```
4
Lattice="-0.606 -2.711 -2.714 -0.791 -1.749 1.924 -4.924 0.626 0.473" Properties=species:S:1:pos:R:3 pbc="T T T"
Ru -1.775 -1.747 -0.637
Be -4.519 -1.846 0.074
Zn -3.037 -0.878 1.555
Ru -5.562 -1.048 2.288
```

---

VASP calculation (PBE-GGA) on a relaxed La3NiSb crystal.

Values from the calculation:
**Calculated total energy**: -5.421 eV/atom
**Energy relative to the elements, uncorrected**: -0.483 eV/atom
**Magnetic moment**: 0.0 μB/f.u.

```
5
Lattice="-4.376 -2.905 -1.251 2.304 -1.464 -4.659 2.168 -4.310 2.426" Properties=species:S:1:pos:R:3 pbc="T T T"
Sb 0.048 -4.340 -1.742
La 1.084 -2.155 1.213
La -2.188 -1.453 -0.625
La 1.152 -0.732 -2.330
Ni 0.000 0.000 0.000
```